(1)
Entry from Alexandria: a relaxed structure of Nd4Tm3Sc2 (PBE-GGA).

Cell lengths 9.6482, 9.6482, 6.9556 Å; angles 90.05, 90.05, 59.24 degrees
Fractional coordinates of all 18 atoms:
Nd 0.1501 0.8172 0.9998
Nd 0.1628 0.5169 0.5002
Nd 0.1828 0.8499 0.5002
Nd 0.4831 0.8372 0.9998
Nd 0.5169 0.1628 0.0002
Nd 0.8172 0.1501 0.4998
Nd 0.8372 0.4831 0.4998
Nd 0.8499 0.1828 0.0002
Tm 0.1759 0.1757 0.2501
Tm 0.1757 0.1759 0.7501
Tm 0.4999 0.5001 0.2500
Tm 0.5001 0.4999 0.7500
Tm 0.8243 0.8241 0.2499
Tm 0.8241 0.8243 0.7499
Sc 0.1684 0.4821 0.0003
Sc 0.4821 0.1684 0.5003
Sc 0.5179 0.8316 0.4997
Sc 0.8316 0.5179 0.9997

**Volume**: 556 Å³/cell
**Total magnetic moment**: 0.0 μB per formula unit
**Energy of formation from the pure elements**: 0.53 eV/f.u.
**Space group**: C2/c (15)
**E above lowest polymorph**: 0.0 meV/atom


(2)
Entry from Alexandria: a relaxed structure of Tb2ErTe (PBE-GGA).

Cell lengths 3.8758, 3.8758, 7.8074 Å; angles 90.00, 90.00, 90.00 degrees
Fractional coordinates of all 4 atoms:
Tb 0.0000 0.0000 0.2269
Tb 0.0000 0.0000 0.7731
Er 0.5000 0.5000 0.5000
Te 0.5000 0.5000 0.0000

**Formation energy (no corrections)**: -0.559 eV per atom
**Volume**: 117 Å³/cell
**Total magnetic moment**: 0.0 μB per formula unit
**Space group**: P4/mmm (123)
**E above lowest polymorph**: 91.9 meV/atom


(3)
Entry from Alexandria: a relaxed structure of Pm4YCo (PBE-GGA).

Cell lengths 9.6148, 9.6148, 6.0083 Å; angles 108.20, 108.20, 44.55 degrees
Fractional coordinates of all 12 atoms:
Pm 0.1300 0.6341 0.3817
Pm 0.2332 0.7668 0.0000
Pm 0.3255 0.3255 0.8256
Pm 0.3659 0.8700 0.6183
Pm 0.6341 0.1300 0.3817
Pm 0.6745 0.6745 0.1744
Pm 0.7668 0.2332 0.0000
Pm 0.8700 0.3659 0.6183
Y 0.1974 0.1974 0.1979
Y 0.8026 0.8026 0.8021
Co 0.4997 0.4997 0.3115
Co 0.5003 0.5003 0.6885

**Volume**: 367 Å³/cell
**Total magnetic moment**: 0.0 μB per formula unit
**Energy of formation from the pure elements**: 0.05 eV/f.u.
**Space group**: C2/m (12)


(4)
Entry from Alexandria: a relaxed structure of Ti3SiIr6 (PBE-GGA).

Cell lengths 7.4573, 4.4047, 9.6204 Å; angles 90.00, 112.38, 90.00 degrees
Fractional coordinates of all 20 atoms:
Ti 0.0144 0.2500 0.3704
Ti 0.1231 0.7500 0.2046
Ti 0.2838 0.2500 0.9756
Ti 0.7162 0.7500 0.0244
Ti 0.8769 0.2500 0.7954
Ti 0.9856 0.7500 0.6296
Si 0.4600 0.2500 0.5855
Si 0.5400 0.7500 0.4145
Ir 0.0460 0.7500 0.9210
Ir 0.1870 0.2500 0.6656
Ir 0.2505 0.7500 0.4963
Ir 0.3460 0.2500 0.3109
Ir 0.3461 0.7500 0.8259
Ir 0.4278 0.7500 0.1413
Ir 0.5722 0.2500 0.8587
Ir 0.6539 0.2500 0.1741
Ir 0.6540 0.7500 0.6891
Ir 0.7495 0.2500 0.5037
Ir 0.8130 0.7500 0.3344
Ir 0.9540 0.2500 0.0790

**Formation energy (no corrections)**: -0.762 eV per atom
**Volume**: 292 Å³/cell
**Total magnetic moment**: 0.0 μB per formula unit
**Space group**: P2_1/m (11)


(5)
Entry from Alexandria: a relaxed structure of CsNaSbAu2 (PBE-GGA).

Cell lengths 5.5060, 5.5060, 5.7458 Å; angles 90.00, 90.00, 90.00 degrees
Fractional coordinates of all 5 atoms:
Cs 0.0000 0.0000 0.0000
Na 0.5000 0.5000 0.0000
Sb 0.5000 0.5000 0.5000
Au 0.0000 0.5000 0.5000
Au 0.5000 0.0000 0.5000

**Formation energy (no corrections)**: -0.225 eV per atom
**Volume**: 174 Å³/cell
**Total magnetic moment**: 0.0 μB per formula unit
**Space group**: P4/mmm (123)


(6)
Entry from Alexandria: a relaxed structure of Ce2BeGe (PBE-GGA).

Cell lengths 2.9932, 2.9932, 33.5771 Å; angles 90.00, 90.00, 120.00 degrees
Fractional coordinates of all 12 atoms:
Ce 0.0000 0.0000 0.0885
Ce 0.0000 0.0000 0.9115
Ce 0.3333 0.6667 0.5782
Ce 0.3333 0.6667 0.7551
Ce 0.6667 0.3333 0.2449
Ce 0.6667 0.3333 0.4218
Be 0.0000 0.0000 0.0000
Be 0.3333 0.6667 0.6667
Be 0.6667 0.3333 0.3333
Ge 0.0000 0.0000 0.5000
Ge 0.3333 0.6667 0.1667
Ge 0.6667 0.3333 0.8333

**Volume**: 261 Å³/cell
**Total magnetic moment**: 0.0 μB per formula unit
**Energy of formation from the pure elements**: 1.71 eV/f.u.
**Space group**: R-3m (166)


Looking at theoretical density for the records above, in order, we have 7.01, 8.68, 6.59, 15.06, 6.40, 6.92 g/cm3.